Entry from the Alexandria database: crystalline Tm3Ga7Co4 at its relaxed geometry (GGA-PBE).

Properties
Magnetization   0.00 μB/cell
Symmetry   C2/m, No. 12
ΔE_f   -10.56 kcal/mol of atoms
Density   8932 kg/m³
Total energy   -4.960 eV per atom
V   16.3 A^3/atom

Cell lengths 7.752, 7.752, 9.061 Å; angles 123.11, 123.11, 30.65 degrees
Atoms (fractional coordinates):
Tm1 0.000 0.000 0.000
Tm2 0.307 0.307 0.295
Tm3 0.693 0.693 0.705
Ga1 0.000 0.000 0.500
Ga2 0.157 0.157 0.417
Ga3 0.320 0.320 0.972
Ga4 0.495 0.495 0.720
Ga5 0.505 0.505 0.280
Ga6 0.680 0.680 0.028
Ga7 0.843 0.843 0.583
Co1 0.113 0.113 0.830
Co2 0.333 0.333 0.713
Co3 0.667 0.667 0.287
Co4 0.887 0.887 0.170


Entry from the Alexandria database: crystalline DyHoErSc at its relaxed geometry (GGA-PBE).

Properties
Magnetization   0.00 μB/cell
Symmetry   F-43m, No. 216
ΔE_f   2.94 kcal/mol of atoms
Density   7575 kg/m³
ΔE to the lowest computed polymorph   19 meV per atom
Total energy   -4.891 eV per atom
V   29.6 A^3/atom

Cell lengths 5.510, 5.510, 5.510 Å; angles 60.00, 60.00, 60.00 degrees
Atoms (fractional coordinates):
Dy1 0.000 0.000 0.000
Ho1 0.500 0.500 0.500
Er1 0.250 0.250 0.250
Sc1 0.750 0.750 0.750


Entry from the Alexandria database: crystalline ZrTiAl at its relaxed geometry (GGA-PBE).

Properties
Magnetization   0.00 μB/cell
Symmetry   I4/mmm, No. 139
ΔE_f   -2.55 kcal/mol of atoms
Density   4699 kg/m³
ΔE to the lowest computed polymorph   226 meV per atom
Total energy   -6.839 eV per atom
V   19.6 A^3/atom

Cell lengths 7.382, 7.382, 7.382 Å; angles 96.12, 96.12, 141.87 degrees
Atoms (fractional coordinates):
Zr1 0.170 0.170 0.340
Zr2 0.170 0.830 0.000
Zr3 0.830 0.170 0.000
Zr4 0.830 0.830 0.660
Ti1 0.000 0.383 0.383
Ti2 0.000 0.617 0.617
Ti3 0.383 0.000 0.383
Ti4 0.617 0.000 0.617
Al1 0.268 0.500 0.768
Al2 0.500 0.268 0.768
Al3 0.500 0.732 0.232
Al4 0.732 0.500 0.232


Entry from the Alexandria database: crystalline Tm3ZnP2Rh9 at its relaxed geometry (GGA-PBE).

Properties
Magnetization   0.00 μB/cell
Symmetry   P-3m1, No. 164
ΔE_f   -13.44 kcal/mol of atoms
Density   9736 kg/m³
Total energy   -6.694 eV per atom
V   17.7 A^3/atom

Cell lengths 6.149, 6.149, 8.128 Å; angles 90.00, 90.00, 120.00 degrees
Atoms (fractional coordinates):
Tm1 0.000 0.000 0.000
Tm2 0.333 0.667 0.655
Tm3 0.667 0.333 0.345
Zn1 0.000 0.000 0.500
P1 0.333 0.667 0.165
P2 0.667 0.333 0.835
Rh1 0.000 0.500 0.000
Rh2 0.162 0.324 0.304
Rh3 0.162 0.838 0.304
Rh4 0.324 0.162 0.696
Rh5 0.500 0.000 0.000
Rh6 0.500 0.500 0.000
Rh7 0.676 0.838 0.304
Rh8 0.838 0.162 0.696
Rh9 0.838 0.676 0.696


Entry from the Alexandria database: crystalline BiP4 at its relaxed geometry (GGA-PBE).

Properties
Magnetization   0.52 μB/cell
Symmetry   Pm-3m, No. 221
ΔE_f   42.41 kcal/mol of atoms
Density   3939 kg/m³
Total energy   -3.265 eV per atom
V   28.1 A^3/atom

Cell lengths 5.196, 5.196, 5.196 Å; angles 90.00, 90.00, 90.00 degrees
Atoms (fractional coordinates):
Bi1 0.000 0.000 0.000
P1 0.000 0.000 0.500
P2 0.000 0.500 0.000
P3 0.500 0.000 0.000
P4 0.500 0.500 0.500


Entry from the Alexandria database: crystalline Tb2MgSn at its relaxed geometry (GGA-PBE).

Properties
Magnetization   0.00 μB/cell
Symmetry   P4/mmm, No. 123
ΔE_f   -9.17 kcal/mol of atoms
Density   7115 kg/m³
Total energy   -4.112 eV per atom
V   26.9 A^3/atom

Cell lengths 3.884, 3.884, 7.130 Å; angles 90.00, 90.00, 90.00 degrees
Atoms (fractional coordinates):
Tb1 0.000 0.000 0.249
Tb2 0.000 0.000 0.751
Mg1 0.500 0.500 0.500
Sn1 0.500 0.500 0.000


Entry from the Alexandria database: crystalline Pm3Sm8Mg at its relaxed geometry (GGA-PBE).

Properties
Magnetization   0.00 μB/cell
Symmetry   Pm, No. 6
ΔE_f   0.85 kcal/mol of atoms
Density   6887 kg/m³
Total energy   -4.430 eV per atom
V   33.4 A^3/atom

Cell lengths 9.732, 3.624, 11.703 Å; angles 90.00, 103.85, 90.00 degrees
Atoms (fractional coordinates):
Pm1 0.000 0.000 0.000
Pm2 0.201 0.500 0.510
Pm3 0.461 0.500 0.786
Sm1 0.144 0.000 0.762
Sm2 0.320 0.500 0.031
Sm3 0.533 0.000 0.544
Sm4 0.588 0.500 0.291
Sm5 0.660 0.000 0.041
Sm6 0.806 0.500 0.750
Sm7 0.873 0.000 0.491
Sm8 0.946 0.500 0.244
Mg1 0.266 0.000 0.270


Entry from the Alexandria database: crystalline Tb2YHoTm2 at its relaxed geometry (GGA-PBE).

Properties
Magnetization   0.00 μB/cell
Symmetry   Pnnm, No. 58
ΔE_f   1.65 kcal/mol of atoms
Density   8066 kg/m³
Total energy   -4.803 eV per atom
V   31.2 A^3/atom

Cell lengths 6.987, 9.612, 5.576 Å; angles 90.00, 90.00, 90.00 degrees
Atoms (fractional coordinates):
Tb1 0.250 0.167 0.000
Tb2 0.250 0.667 0.500
Tb3 0.750 0.333 0.500
Tb4 0.750 0.833 0.000
Y1 0.000 0.000 0.500
Y2 0.500 0.500 0.000
Ho1 0.000 0.500 0.000
Ho2 0.500 0.000 0.500
Tm1 0.250 0.333 0.500
Tm2 0.250 0.833 0.000
Tm3 0.750 0.167 0.000
Tm4 0.750 0.667 0.500


Entry from the Alexandria database: crystalline Al5Fe4Cu at its relaxed geometry (GGA-PBE).

Properties
Magnetization   2.03 μB/cell
Symmetry   P4/mmm, No. 123
ΔE_f   -7.31 kcal/mol of atoms
Density   5786 kg/m³
Total energy   -5.983 eV per atom
V   12.1 A^3/atom

Cell lengths 2.900, 2.900, 14.394 Å; angles 90.00, 90.00, 90.00 degrees
Atoms (fractional coordinates):
Al1 0.000 0.000 0.000
Al2 0.000 0.000 0.199
Al3 0.000 0.000 0.389
Al4 0.000 0.000 0.611
Al5 0.000 0.000 0.801
Fe1 0.500 0.500 0.098
Fe2 0.500 0.500 0.298
Fe3 0.500 0.500 0.702
Fe4 0.500 0.500 0.902
Cu1 0.500 0.500 0.500


Entry from the Alexandria database: crystalline MnSiRh at its relaxed geometry (GGA-PBE).

Properties
Magnetization   20.10 μB/cell
Formation energy without anion corrections   -0.55 eV/atom
Symmetry   P2_1/m, No. 11
Density   7434 kg/m³
Total energy   -7.860 eV per atom
V   13.8 A^3/atom

Cell lengths 6.314, 3.615, 10.922 Å; angles 90.00, 91.66, 90.00 degrees
Atoms (fractional coordinates):
Mn1 0.018 0.250 0.213
Mn2 0.356 0.750 0.576
Mn3 0.462 0.750 0.886
Mn4 0.538 0.250 0.114
Mn5 0.644 0.250 0.424
Mn6 0.982 0.750 0.787
Si1 0.237 0.750 0.088
Si2 0.239 0.250 0.418
Si3 0.274 0.250 0.754
Si4 0.726 0.750 0.246
Si5 0.761 0.750 0.582
Si6 0.763 0.250 0.912
Rh1 0.021 0.250 0.597
Rh2 0.156 0.250 0.958
Rh3 0.367 0.750 0.293
Rh4 0.633 0.250 0.707
Rh5 0.844 0.750 0.042
Rh6 0.979 0.750 0.403


Entry from the Alexandria database: crystalline LaZr2W at its relaxed geometry (GGA-PBE).

Properties
Magnetization   0.00 μB/cell
Symmetry   I-42d, No. 122
ΔE_f   19.95 kcal/mol of atoms
Density   8583 kg/m³
ΔE to the lowest computed polymorph   690 meV per atom
Total energy   -7.879 eV per atom
V   24.4 A^3/atom

Cell lengths 10.913, 10.913, 10.913 Å; angles 157.17, 157.17, 32.50 degrees
Atoms (fractional coordinates):
La1 0.000 0.000 0.000
La2 0.750 0.250 0.500
Zr1 0.143 0.625 0.018
Zr2 0.375 0.393 0.518
Zr3 0.607 0.125 0.982
Zr4 0.875 0.857 0.482
W1 0.250 0.750 0.500
W2 0.500 0.500 0.000